w:
The following is a DFT calculation (PBE) of crystalline HgI2Br at its relaxed geometry.

## Properties
DOS at the Fermi energy	7.9	states/eV per cell

abc: 5.594 5.594 5.594
angles: 60.00 60.00 60.00
Fractional coordinates of all 4 atoms:
Hg (0.000, 0.000, 0.000)
I (0.250, 0.250, 0.250)
I (0.750, 0.750, 0.750)
Br (0.500, 0.500, 0.500)

---

x:
The following is a DFT calculation (PBE) of crystalline HgI2Br at its relaxed geometry.

## Properties
DOS at the Fermi energy	9.2	states/eV per cell

abc: 7.465 7.465 7.465
angles: 111.41 111.41 105.66
Fractional coordinates of all 8 atoms:
Hg (0.000, 0.000, 0.000)
Hg (0.750, 0.250, 0.500)
I (0.070, 0.125, 0.445)
I (0.375, 0.930, 0.055)
I (0.680, 0.625, 0.555)
I (0.875, 0.320, 0.945)
Br (0.250, 0.750, 0.500)
Br (0.500, 0.500, 0.000)

---

It is w that is the least stable of them.

---

w:
The following is a DFT calculation (PBE) of crystalline Hg2IBr3 at its relaxed geometry.

## Properties
DOS at the Fermi energy	0.0	states/eV per cell

abc: 8.591 8.591 14.281
angles: 120.76 120.76 33.41
Fractional coordinates of all 12 atoms:
Hg (0.247, 0.247, 0.124)
Hg (0.251, 0.251, 0.623)
Hg (0.749, 0.749, 0.377)
Hg (0.753, 0.753, 0.876)
I (0.116, 0.116, 0.178)
I (0.884, 0.884, 0.822)
Br (0.134, 0.134, 0.684)
Br (0.366, 0.366, 0.560)
Br (0.369, 0.369, 0.071)
Br (0.631, 0.631, 0.929)
Br (0.634, 0.634, 0.440)
Br (0.866, 0.866, 0.316)

---

x:
The following is a DFT calculation (PBE) of crystalline Hg2IBr3 at its relaxed geometry.

abc: 13.642 13.642 8.661
angles: 90.26 90.26 18.15
Fractional coordinates of all 12 atoms:
Hg (0.069, 0.069, 0.015)
Hg (0.317, 0.317, 0.616)
Hg (0.683, 0.683, 0.384)
Hg (0.931, 0.931, 0.985)
I (0.362, 0.362, 0.987)
I (0.638, 0.638, 0.013)
Br (0.004, 0.004, 0.774)
Br (0.239, 0.239, 0.300)
Br (0.398, 0.398, 0.475)
Br (0.602, 0.602, 0.525)
Br (0.761, 0.761, 0.700)
Br (0.996, 0.996, 0.226)

---

It is x that is the least stable of them.

---

w:
The following is a DFT calculation (PBE) of crystalline Hg2I3Br at its relaxed geometry.

## Properties
DOS at the Fermi energy	0.0	states/eV per cell

abc: 4.511 4.511 13.934
angles: 90.22 90.22 70.56
Fractional coordinates of all 6 atoms:
Hg (0.000, 0.000, 0.000)
Hg (0.680, 0.680, 0.509)
I (0.417, 0.417, 0.377)
I (0.732, 0.732, 0.126)
I (0.947, 0.947, 0.639)
Br (0.250, 0.250, 0.880)

---

x:
The following is a DFT calculation (PBE) of crystalline Hg2I3Br at its relaxed geometry.

## Properties
DOS at the Fermi energy	0.0	states/eV per cell

abc: 15.468 15.468 8.528
angles: 97.85 97.85 16.78
Fractional coordinates of all 12 atoms:
Hg (0.036, 0.036, 0.202)
Hg (0.299, 0.299, 0.654)
Hg (0.701, 0.701, 0.346)
Hg (0.964, 0.964, 0.798)
I (0.058, 0.058, 0.883)
I (0.288, 0.288, 0.340)
I (0.431, 0.431, 0.610)
I (0.569, 0.569, 0.390)
I (0.712, 0.712, 0.660)
I (0.942, 0.942, 0.117)
Br (0.325, 0.325, 0.941)
Br (0.675, 0.675, 0.059)

---

It is x that is the least stable of them.

---

w:
The following is a DFT calculation (PBE) of crystalline HgI3Br at its relaxed geometry.

## Properties
DOS at the Fermi energy	6.1	states/eV per cell

abc: 5.957 5.957 5.957
angles: 90.00 90.00 90.00
Fractional coordinates of all 5 atoms:
Hg (0.000, 0.000, 0.000)
I (0.000, 0.500, 0.500)
I (0.500, 0.000, 0.500)
I (0.500, 0.500, 0.000)
Br (0.500, 0.500, 0.500)

---

x:
The following is a DFT calculation (PBE) of crystalline HgI3Br at its relaxed geometry.

## Properties
DOS at the Fermi energy	7.6	states/eV per cell

abc: 5.915 5.915 5.915
angles: 90.00 90.00 90.00
Fractional coordinates of all 5 atoms:
Hg (0.000, 0.000, 0.000)
I (0.000, 0.000, 0.500)
I (0.000, 0.500, 0.000)
I (0.500, 0.000, 0.000)
Br (0.500, 0.500, 0.500)

---

It is w that is the least stable of them.